A plane-wave DFT calculation with PBE-GGA was carried out for a relaxed structure of NbAlGe2.

a b c (Å): 5.8199 5.8199 5.8199
angles (deg): 103.01 103.01 123.35
Sites, in units of the cell vectors:
Nb 0.0000 0.0000 0.0000
Nb 0.7500 0.2500 0.5000
Al 0.2500 0.7500 0.5000
Al 0.5000 0.5000 0.0000
Ge 0.1317 0.1250 0.5067
Ge 0.3750 0.8683 0.9933
Ge 0.6183 0.6250 0.4933
Ge 0.8750 0.3817 0.0067

Values from the calculation:
- ΔE_f (meV/atom) = 203.8
- magnetic moment (Bohr magnetons per cell) = 0.00
- energy (eV per atom) = -5.558
- V (A^3/atom) = 18.1

=====

A plane-wave DFT calculation with PBE-GGA was carried out for a relaxed structure of Nb4AlGe.

a b c (Å): 8.4867 8.4867 4.9576
angles (deg): 95.22 95.22 141.61
Sites, in units of the cell vectors:
Nb 0.0378 0.4619 0.2537
Nb 0.2109 0.2866 0.2541
Nb 0.2866 0.2109 0.7541
Nb 0.4619 0.0378 0.7537
Nb 0.5381 0.9622 0.2463
Nb 0.7134 0.7891 0.2459
Nb 0.7891 0.7134 0.7459
Nb 0.9622 0.5381 0.7463
Al 0.1253 0.8747 0.2500
Al 0.8747 0.1253 0.7500
Ge 0.3750 0.6250 0.7500
Ge 0.6250 0.3750 0.2500

Values from the calculation:
- ΔE_f (meV/atom) = -51.7
- magnetic moment (Bohr magnetons per cell) = 0.00
- energy (eV per atom) = -8.158
- V (A^3/atom) = 17.8

=====

A plane-wave DFT calculation with PBE-GGA was carried out for a relaxed structure of NbAlGeSe2.

a b c (Å): 5.0283 5.0283 5.1518
angles (deg): 90.00 90.00 90.00
Sites, in units of the cell vectors:
Nb 0.0000 0.0000 0.0000
Al 0.5000 0.5000 0.5000
Ge 0.0000 0.0000 0.5000
Se 0.0000 0.5000 0.0000
Se 0.5000 0.0000 0.0000

Values from the calculation:
- magnetic moment (Bohr magnetons per cell) = 0.00
- formation energy from raw total energies (meV/atom) = 139
- energy (eV per atom) = -4.941
- V (A^3/atom) = 26.1

=====

A plane-wave DFT calculation with PBE-GGA was carried out for a relaxed structure of NbAlGe2Se.

a b c (Å): 4.7000 4.7000 5.0337
angles (deg): 90.00 90.00 90.00
Sites, in units of the cell vectors:
Nb 0.0000 0.0000 0.0000
Al 0.0000 0.0000 0.5000
Ge 0.0000 0.5000 0.5000
Ge 0.5000 0.0000 0.5000
Se 0.5000 0.5000 0.0000

Values from the calculation:
- magnetic moment (Bohr magnetons per cell) = 0.00
- formation energy from raw total energies (meV/atom) = 858
- energy (eV per atom) = -4.448
- V (A^3/atom) = 22.2

=====

A plane-wave DFT calculation with PBE-GGA was carried out for a relaxed structure of TaNbAlGe2.

a b c (Å): 4.6093 4.6093 4.8576
angles (deg): 90.00 90.00 90.00
Sites, in units of the cell vectors:
Ta 0.0000 0.0000 0.0000
Nb 0.5000 0.5000 0.0000
Al 0.0000 0.0000 0.5000
Ge 0.0000 0.5000 0.5000
Ge 0.5000 0.0000 0.5000

Values from the calculation:
- ΔE_f (meV/atom) = 1242.0
- magnetic moment (Bohr magnetons per cell) = 0.00
- energy (eV per atom) = -5.738
- V (A^3/atom) = 20.6

=====

A plane-wave DFT calculation with PBE-GGA was carried out for a relaxed structure of NbAlGeTe2.

a b c (Å): 5.3017 5.3017 4.9932
angles (deg): 90.00 90.00 90.00
Sites, in units of the cell vectors:
Nb 0.0000 0.0000 0.0000
Al 0.0000 0.0000 0.5000
Ge 0.5000 0.5000 0.0000
Te 0.0000 0.5000 0.5000
Te 0.5000 0.0000 0.5000

Values from the calculation:
- magnetic moment (Bohr magnetons per cell) = 2.48
- formation energy from raw total energies (meV/atom) = 956
- energy (eV per atom) = -3.987
- V (A^3/atom) = 28.1

=====

A plane-wave DFT calculation with PBE-GGA was carried out for a relaxed structure of Nd2Al3Ge.

a b c (Å): 4.2489 4.3496 7.5300
angles (deg): 90.00 90.00 90.00
Sites, in units of the cell vectors:
Nd 0.0000 0.0000 0.0000
Nd 0.0000 0.5000 0.4902
Al 0.5000 0.0000 0.6610
Al 0.5000 0.5000 0.1611
Al 0.5000 0.5000 0.8260
Ge 0.5000 0.0000 0.3302

Values from the calculation:
- ΔE_f (meV/atom) = -584.1
- magnetic moment (Bohr magnetons per cell) = 0.00
- energy (eV per atom) = -4.814
- V (A^3/atom) = 23.2

=====

A plane-wave DFT calculation with PBE-GGA was carried out for a relaxed structure of NdAlGe2.

a b c (Å): 4.5120 4.5120 4.1589
angles (deg): 90.00 90.00 90.00
Sites, in units of the cell vectors:
Nd 0.0000 0.0000 0.0000
Al 0.5000 0.5000 0.0000
Ge 0.0000 0.5000 0.5000
Ge 0.5000 0.0000 0.5000

Values from the calculation:
- ΔE_f (meV/atom) = -402.8
- magnetic moment (Bohr magnetons per cell) = 0.00
- energy (eV per atom) = -4.839
- V (A^3/atom) = 21.2

=====

A plane-wave DFT calculation with PBE-GGA was carried out for a relaxed structure of Nd3Al3Ge.

a b c (Å): 10.0464 10.0464 10.0464
angles (deg): 155.46 154.75 35.50
Sites, in units of the cell vectors:
Nd 0.0000 0.0000 0.0000
Nd 0.1815 0.6815 0.5000
Nd 0.3701 0.3701 0.0000
Al 0.5432 0.5432 0.0000
Al 0.7492 0.2492 0.5000
Al 0.8234 0.8234 0.0000
Ge 0.6188 0.1188 0.5000

Values from the calculation:
- ΔE_f (meV/atom) = -526.9
- magnetic moment (Bohr magnetons per cell) = 0.37
- energy (eV per atom) = -4.834
- V (A^3/atom) = 25.6

=====

A plane-wave DFT calculation with PBE-GGA was carried out for a relaxed structure of Nd3Al4Ge2.

a b c (Å): 6.0697 6.0697 8.6202
angles (deg): 101.01 101.01 41.62
Sites, in units of the cell vectors:
Nd 0.0000 0.0000 0.0000
Nd 0.3323 0.3323 0.3351
Nd 0.6677 0.6677 0.6649
Al 0.0498 0.0498 0.3832
Al 0.2724 0.2724 0.9388
Al 0.7276 0.7276 0.0612
Al 0.9502 0.9502 0.6168
Ge 0.3875 0.3875 0.7215
Ge 0.6125 0.6125 0.2785

Values from the calculation:
- ΔE_f (meV/atom) = -611.1
- magnetic moment (Bohr magnetons per cell) = 0.00
- energy (eV per atom) = -4.890
- V (A^3/atom) = 22.9

=====

A plane-wave DFT calculation with PBE-GGA was carried out for a relaxed structure of Nd4Al5Ge6.

a b c (Å): 10.1158 10.1158 15.7476
angles (deg): 90.00 90.00 155.55
Sites, in units of the cell vectors:
Nd 0.0155 0.9845 0.5000
Nd 0.0383 0.9617 0.7712
Nd 0.1672 0.8328 0.3094
Nd 0.1848 0.8152 0.9524
Nd 0.8152 0.1848 0.4524
Nd 0.8328 0.1672 0.8094
Nd 0.9617 0.0383 0.2712
Nd 0.9845 0.0155 0.0000
Al 0.1463 0.8537 0.6312
Al 0.3050 0.6950 0.6232
Al 0.3414 0.6586 0.2890
Al 0.3590 0.6410 0.9762
Al 0.4409 0.5591 0.6891
Al 0.5591 0.4409 0.1891
Al 0.6410 0.3590 0.4762
Al 0.6586 0.3414 0.7890
Al 0.6950 0.3050 0.1232
Al 0.8537 0.1463 0.1312
Ge 0.1088 0.8912 0.1220
Ge 0.2094 0.7906 0.4963
Ge 0.2253 0.7747 0.7598
Ge 0.4230 0.5770 0.4144
Ge 0.4325 0.5675 0.1311
Ge 0.4434 0.5566 0.8544
Ge 0.5566 0.4434 0.3544
Ge 0.5675 0.4325 0.6311
Ge 0.5770 0.4230 0.9144
Ge 0.7747 0.2253 0.2598
Ge 0.7906 0.2094 0.9963
Ge 0.8912 0.1088 0.6220

Values from the calculation:
- ΔE_f (meV/atom) = -491.2
- magnetic moment (Bohr magnetons per cell) = 0.00
- energy (eV per atom) = -4.857
- V (A^3/atom) = 22.2

=====

A plane-wave DFT calculation with PBE-GGA was carried out for a relaxed structure of Nd2AlGe6.

a b c (Å): 6.0776 6.0776 10.7407
angles (deg): 98.14 98.14 92.40
Sites, in units of the cell vectors:
Nd 0.1599 0.6652 0.6621
Nd 0.3348 0.8401 0.3379
Nd 0.6652 0.1599 0.6621
Nd 0.8401 0.3348 0.3379
Al 0.1984 0.1984 0.8031
Al 0.8016 0.8016 0.1969
Ge 0.0673 0.4952 0.1156
Ge 0.0710 0.0710 0.1151
Ge 0.1469 0.1469 0.5617
Ge 0.3629 0.3629 0.4144
Ge 0.4907 0.4907 0.1158
Ge 0.4952 0.0673 0.1156
Ge 0.5048 0.9327 0.8844
Ge 0.5093 0.5093 0.8842
Ge 0.6371 0.6371 0.5856
Ge 0.8531 0.8531 0.4383
Ge 0.9290 0.9290 0.8849
Ge 0.9327 0.5048 0.8844

Values from the calculation:
- ΔE_f (meV/atom) = -451.2
- magnetic moment (Bohr magnetons per cell) = 0.00
- energy (eV per atom) = -5.005
- V (A^3/atom) = 21.6

=====

A plane-wave DFT calculation with PBE-GGA was carried out for a relaxed structure of Nd5Al2Ge.

a b c (Å): 9.0813 9.0813 9.0813
angles (deg): 127.69 127.69 77.13
Sites, in units of the cell vectors:
Nd 0.0000 0.0000 0.0000
Nd 0.0223 0.5223 0.8481
Nd 0.1743 0.0223 0.5000
Nd 0.3257 0.8257 0.8481
Nd 0.4777 0.3257 0.5000
Nd 0.5000 0.5000 0.0000
Nd 0.5223 0.6743 0.5000
Nd 0.6743 0.1743 0.1519
Nd 0.8257 0.9777 0.5000
Nd 0.9777 0.4777 0.1519
Al 0.1170 0.3830 0.5000
Al 0.3830 0.8830 0.2661
Al 0.6170 0.1170 0.7339
Al 0.8830 0.6170 0.5000
Ge 0.2500 0.2500 0.0000
Ge 0.7500 0.7500 0.0000

Values from the calculation:
- ΔE_f (meV/atom) = -394.8
- magnetic moment (Bohr magnetons per cell) = 0.01
- energy (eV per atom) = -4.887
- V (A^3/atom) = 28.4

=====

A plane-wave DFT calculation with PBE-GGA was carried out for a relaxed structure of Nd3Al3Ge2.

a b c (Å): 6.1018 6.1018 16.0628
angles (deg): 90.00 90.00 139.99
Sites, in units of the cell vectors:
Nd 0.0693 0.9307 0.7500
Nd 0.3569 0.6431 0.5921
Nd 0.3569 0.6431 0.9079
Nd 0.6431 0.3569 0.0921
Nd 0.6431 0.3569 0.4079
Nd 0.9307 0.0693 0.2500
Al 0.0711 0.9289 0.5577
Al 0.0711 0.9289 0.9423
Al 0.2004 0.7996 0.2500
Al 0.7996 0.2004 0.7500
Al 0.9289 0.0711 0.0577
Al 0.9289 0.0711 0.4423
Ge 0.3472 0.6528 0.1209
Ge 0.3472 0.6528 0.3791
Ge 0.6528 0.3472 0.6209
Ge 0.6528 0.3472 0.8791

Values from the calculation:
- ΔE_f (meV/atom) = -609.4
- magnetic moment (Bohr magnetons per cell) = 0.00
- energy (eV per atom) = -4.955
- V (A^3/atom) = 24.0

=====

A plane-wave DFT calculation with PBE-GGA was carried out for a relaxed structure of Nd2AlGe.

a b c (Å): 3.8784 3.8784 6.7320
angles (deg): 90.00 90.00 90.00
Sites, in units of the cell vectors:
Nd 0.0000 0.0000 0.2382
Nd 0.0000 0.0000 0.7618
Al 0.5000 0.5000 0.5000
Ge 0.5000 0.5000 0.0000

Values from the calculation:
- ΔE_f (meV/atom) = -475.4
- magnetic moment (Bohr magnetons per cell) = 0.00
- energy (eV per atom) = -4.949
- V (A^3/atom) = 25.3

=====

A plane-wave DFT calculation with PBE-GGA was carried out for a relaxed structure of Nd2Al2Ge3.

a b c (Å): 8.1353 8.1353 11.9547
angles (deg): 125.37 125.37 30.39
Sites, in units of the cell vectors:
Nd 0.0987 0.0987 0.4421
Nd 0.2333 0.2333 0.8401
Nd 0.7667 0.7667 0.1599
Nd 0.9013 0.9013 0.5579
Al 0.0947 0.0947 0.1590
Al 0.4504 0.4504 0.1892
Al 0.5496 0.5496 0.8108
Al 0.9053 0.9053 0.8410
Ge 0.1096 0.1096 0.9580
Ge 0.3385 0.3385 0.6890
Ge 0.4131 0.4131 0.3766
Ge 0.5869 0.5869 0.6234
Ge 0.6615 0.6615 0.3110
Ge 0.8904 0.8904 0.0420

Values from the calculation:
- ΔE_f (meV/atom) = -573.0
- magnetic moment (Bohr magnetons per cell) = 0.00
- energy (eV per atom) = -4.983
- V (A^3/atom) = 22.9

=====

A plane-wave DFT calculation with PBE-GGA was carried out for a relaxed structure of Nd2AlGe3.

a b c (Å): 8.7740 8.6644 6.0162
angles (deg): 70.80 68.84 40.36
Sites, in units of the cell vectors:
Nd 0.2439 0.7561 0.7561
Nd 0.2500 0.2500 0.2500
Nd 0.7500 0.7500 0.7500
Nd 0.7561 0.2439 0.2439
Al 0.3342 0.3342 0.6658
Al 0.6658 0.6658 0.3342
Ge 0.1704 0.6612 0.3388
Ge 0.1714 0.1714 0.8286
Ge 0.3388 0.8296 0.1704
Ge 0.6612 0.1704 0.8296
Ge 0.8286 0.8286 0.1714
Ge 0.8296 0.3388 0.6612

Values from the calculation:
- ΔE_f (meV/atom) = -601.1
- magnetic moment (Bohr magnetons per cell) = 0.00
- energy (eV per atom) = -5.123
- V (A^3/atom) = 22.9

=====

A plane-wave DFT calculation with PBE-GGA was carried out for a relaxed structure of Nd4AlGe.

a b c (Å): 10.0096 10.0096 10.0096
angles (deg): 60.00 60.00 60.00
Sites, in units of the cell vectors:
Nd 0.1863 0.1863 0.8137
Nd 0.1863 0.8137 0.1863
Nd 0.1863 0.8137 0.8137
Nd 0.3907 0.3907 0.3907
Nd 0.3907 0.3907 0.8279
Nd 0.3907 0.8279 0.3907
Nd 0.5514 0.5514 0.9486
Nd 0.5514 0.9486 0.5514
Nd 0.5514 0.9486 0.9486
Nd 0.8137 0.1863 0.1863
Nd 0.8137 0.1863 0.8137
Nd 0.8137 0.8137 0.1863
Nd 0.8279 0.3907 0.3907
Nd 0.9486 0.5514 0.5514
Nd 0.9486 0.5514 0.9486
Nd 0.9486 0.9486 0.5514
Al 0.1738 0.1738 0.1738
Al 0.1738 0.1738 0.4787
Al 0.1738 0.4787 0.1738
Al 0.4787 0.1738 0.1738
Ge 0.1810 0.6063 0.6063
Ge 0.6063 0.1810 0.6063
Ge 0.6063 0.6063 0.1810
Ge 0.6063 0.6063 0.6063

Values from the calculation:
- ΔE_f (meV/atom) = -385.4
- magnetic moment (Bohr magnetons per cell) = 0.15
- energy (eV per atom) = -4.957
- V (A^3/atom) = 29.5

=====

A plane-wave DFT calculation with PBE-GGA was carried out for a relaxed structure of Nd6AlGe2.

a b c (Å): 8.8214 8.8214 8.8214
angles (deg): 111.82 109.51 107.13
Sites, in units of the cell vectors:
Nd 0.0514 0.2494 0.8020
Nd 0.1727 0.4644 0.2918
Nd 0.1727 0.8809 0.7082
Nd 0.3212 0.2300 0.5512
Nd 0.3212 0.7700 0.0912
Nd 0.4473 0.2494 0.1980
Nd 0.5527 0.7506 0.8020
Nd 0.6788 0.2300 0.9088
Nd 0.6788 0.7700 0.4488
Nd 0.8273 0.1191 0.2918
Nd 0.8273 0.5356 0.7082
Nd 0.9486 0.7506 0.1980
Al 0.0000 0.0000 0.0000
Al 0.5000 0.5000 0.0000
Ge 0.1427 0.5000 0.6427
Ge 0.3803 0.8803 0.5000
Ge 0.6197 0.1197 0.5000
Ge 0.8573 0.5000 0.3573

Values from the calculation:
- ΔE_f (meV/atom) = -483.1
- magnetic moment (Bohr magnetons per cell) = 0.00
- energy (eV per atom) = -5.104
- V (A^3/atom) = 29.3

=====

A plane-wave DFT calculation with PBE-GGA was carried out for a relaxed structure of NdAlGe2.

a b c (Å): 5.6707 5.6707 5.6707
angles (deg): 46.21 46.21 46.21
Sites, in units of the cell vectors:
Nd 0.0000 0.0000 0.0000
Al 0.5000 0.5000 0.5000
Ge 0.2170 0.2170 0.2170
Ge 0.7830 0.7830 0.7830

Values from the calculation:
- ΔE_f (meV/atom) = -384.6
- magnetic moment (Bohr magnetons per cell) = 0.00
- energy (eV per atom) = -4.821
- V (A^3/atom) = 21.7